Record 1
## Ti2Zn3Cu4 (PBE)

Data for a relaxed structure of Ti2Zn3Cu4.

Cell and atoms, written as CIF:
```
data_Ti2Zn3Cu4
_cell_length_a 4.2444
_cell_length_b 4.2444
_cell_length_c 7.9143
_cell_angle_alpha 90.00
_cell_angle_beta 90.00
_cell_angle_gamma 120.00
_symmetry_space_group_name_H-M 'P -3 m 1'
_symmetry_Int_Tables_number 164
_symmetry_space_group_name_Hall '-P 3 2"'
loop_
_atom_site_label
_atom_site_type_symbol
_atom_site_fract_x
_atom_site_fract_y
_atom_site_fract_z
_atom_site_occupancy
Ti1 Ti 0.3333 0.6667 0.2841 1
Zn1 Zn 0.0000 0.0000 0.5000 1
Zn2 Zn 0.3333 0.6667 0.9288 1
Cu1 Cu 0.0000 0.0000 0.1573 1
Cu2 Cu 0.3333 0.6667 0.6069 1
```

Results
Distance to the lowest polymorph of the same formula in eV/atom: 0.000
Spin magnetization in Bohr magnetons per cell: 0.00
ΔE_f in meV per atom: -119


Record 2
## Ti2Zn8Cu (PBE)

Data for a relaxed structure of Ti2Zn8Cu.

Cell and atoms, written as CIF:
```
data_Ti2Zn8Cu
_cell_length_a 14.436
_cell_length_b 4.024
_cell_length_c 5.760
_cell_angle_alpha 90.00
_cell_angle_beta 102.44
_cell_angle_gamma 90.00
_symmetry_space_group_name_H-M 'C 1 2/m 1'
_symmetry_Int_Tables_number 12
loop_
_symmetry_equiv_pos_as_xyz
'x,y,z'
'-x,-y,-z'
'-x,y,-z'
'x,-y,z'
'x+1/2,y+1/2,z'
'-x+1/2,-y+1/2,-z'
'-x+1/2,y+1/2,-z'
'x+1/2,-y+1/2,z'
loop_
_atom_site_label
_atom_site_type_symbol
_atom_site_fract_x
_atom_site_fract_y
_atom_site_fract_z
_atom_site_occupancy
Ti1 Ti 0.222 0.000 0.150 1
Zn1 Zn 0.033 0.000 0.228 1
Zn2 Zn 0.094 0.500 0.933 1
Zn3 Zn 0.145 0.000 0.666 1
Zn4 Zn 0.162 0.500 0.389 1
Cu1 Cu 0.000 0.500 0.500 1
```

Results
Spin magnetization in Bohr magnetons per cell: 0.00
ΔE_f in meV per atom: -90


Record 3
## Ti2Zn2Cu (PBE)

Data for a relaxed structure of Ti2Zn2Cu.

Cell and atoms, written as CIF:
```
data_Ti2Zn2Cu
_cell_length_a 6.353
_cell_length_b 6.353
_cell_length_c 3.831
_cell_angle_alpha 90.00
_cell_angle_beta 90.00
_cell_angle_gamma 90.00
_symmetry_space_group_name_H-M 'P 4/m b m'
_symmetry_Int_Tables_number 127
_symmetry_space_group_name_Hall '-P 4 2ab'
loop_
_atom_site_label
_atom_site_type_symbol
_atom_site_fract_x
_atom_site_fract_y
_atom_site_fract_z
_atom_site_occupancy
Ti1 Ti 0.166 0.334 0.000 1
Zn1 Zn 0.137 0.637 0.500 1
Cu1 Cu 0.000 0.000 0.500 1
```

Results
Distance to the lowest polymorph of the same formula in eV/atom: 0.007
Spin magnetization in Bohr magnetons per cell: 0.00
ΔE_f in meV per atom: -44


Record 4
## Ti5Zn2Cu (PBE)

Data for a relaxed structure of Ti5Zn2Cu.

Cell and atoms, written as CIF:
```
data_Ti5Zn2Cu
_cell_length_a 3.943
_cell_length_b 3.943
_cell_length_c 16.129
_cell_angle_alpha 90.00
_cell_angle_beta 90.00
_cell_angle_gamma 90.00
_symmetry_space_group_name_H-M 'I 4/m m m'
_symmetry_Int_Tables_number 139
_symmetry_space_group_name_Hall '-I 4 2'
loop_
_atom_site_label
_atom_site_type_symbol
_atom_site_fract_x
_atom_site_fract_y
_atom_site_fract_z
_atom_site_occupancy
Ti1 Ti 0.000 0.000 0.000 1
Ti2 Ti 0.000 0.500 0.125 1
Zn1 Zn 0.000 0.000 0.252 1
Cu1 Cu 0.000 0.000 0.500 1
```

Results
Spin magnetization in Bohr magnetons per cell: 0.75
ΔE_f in meV per atom: -80


Record 5
## TiZn4Cu (PBE)

Data for a relaxed structure of TiZn4Cu.

Cell and atoms, written as CIF:
```
data_TiZn4Cu
_cell_length_a 7.097
_cell_length_b 7.097
_cell_length_c 7.097
_cell_angle_alpha 90.00
_cell_angle_beta 90.00
_cell_angle_gamma 90.00
_symmetry_space_group_name_H-M 'F -4 3 m'
_symmetry_Int_Tables_number 216
_symmetry_space_group_name_Hall 'F -4 2 3'
loop_
_atom_site_label
_atom_site_type_symbol
_atom_site_fract_x
_atom_site_fract_y
_atom_site_fract_z
_atom_site_occupancy
Ti1 Ti 0.000 0.000 0.000 1
Zn1 Zn 0.125 0.125 0.625 1
Cu1 Cu 0.250 0.250 0.250 1
```

Results
Distance to the lowest polymorph of the same formula in eV/atom: 0.105
Spin magnetization in Bohr magnetons per cell: 5.79
ΔE_f in meV per atom: 61


Record 6
## Ti4ZnCu (PBE)

Data for a relaxed structure of Ti4ZnCu.

Cell and atoms, written as CIF:
```
data_Ti4ZnCu
_cell_length_a 2.947
_cell_length_b 2.947
_cell_length_c 10.989
_cell_angle_alpha 90.00
_cell_angle_beta 90.00
_cell_angle_gamma 90.00
_symmetry_space_group_name_H-M 'P 4/m m m'
_symmetry_Int_Tables_number 123
_symmetry_space_group_name_Hall '-P 4 2'
loop_
_atom_site_label
_atom_site_type_symbol
_atom_site_fract_x
_atom_site_fract_y
_atom_site_fract_z
_atom_site_occupancy
Ti1 Ti 0.000 0.000 0.158 1
Ti2 Ti 0.500 0.500 0.331 1
Zn1 Zn 0.000 0.000 0.500 1
Cu1 Cu 0.500 0.500 0.000 1
```

Results
Distance to the lowest polymorph of the same formula in eV/atom: 0.000
Spin magnetization in Bohr magnetons per cell: 0.00
ΔE_f in meV per atom: -133


Record 7
## TiZn4Cu5 (PBE)

Data for a relaxed structure of TiZn4Cu5.

Cell and atoms, written as CIF:
```
data_TiZn4Cu5
_cell_length_a 2.937
_cell_length_b 2.937
_cell_length_c 15.485
_cell_angle_alpha 90.00
_cell_angle_beta 90.00
_cell_angle_gamma 90.00
_symmetry_space_group_name_H-M 'P 4/m m m'
_symmetry_Int_Tables_number 123
_symmetry_space_group_name_Hall '-P 4 2'
loop_
_atom_site_label
_atom_site_type_symbol
_atom_site_fract_x
_atom_site_fract_y
_atom_site_fract_z
_atom_site_occupancy
Ti1 Ti 0.000 0.000 0.000 1
Zn1 Zn 0.000 0.000 0.206 1
Zn2 Zn 0.000 0.000 0.403 1
Cu1 Cu 0.500 0.500 0.110 1
Cu2 Cu 0.500 0.500 0.306 1
Cu3 Cu 0.500 0.500 0.500 1
```

Results
Spin magnetization in Bohr magnetons per cell: 0.73
ΔE_f in meV per atom: -85


Record 8
## TiZnCu3 (PBE)

Data for a relaxed structure of TiZnCu3.

Cell and atoms, written as CIF:
```
data_TiZnCu3
_cell_length_a 4.363
_cell_length_b 4.368
_cell_length_c 7.280
_cell_angle_alpha 89.99
_cell_angle_beta 72.61
_cell_angle_gamma 89.92
_symmetry_space_group_name_H-M 'P 1'
_symmetry_Int_Tables_number 1
loop_
_symmetry_equiv_pos_as_xyz
'x,y,z'
loop_
_atom_site_label
_atom_site_type_symbol
_atom_site_fract_x
_atom_site_fract_y
_atom_site_fract_z
_atom_site_occupancy
Ti1 Ti 0.000 0.000 0.000 1
Ti2 Ti 0.299 0.500 0.413 1
Zn1 Zn 0.503 0.501 0.003 1
Zn2 Zn 0.796 0.002 0.410 1
Cu1 Cu 0.105 0.499 0.802 1
Cu2 Cu 0.193 0.999 0.612 1
Cu3 Cu 0.397 0.000 0.207 1
Cu4 Cu 0.601 0.004 0.795 1
Cu5 Cu 0.698 0.504 0.617 1
Cu6 Cu 0.902 0.501 0.206 1
```

Results
Distance to the lowest polymorph of the same formula in eV/atom: 0.000
Spin magnetization in Bohr magnetons per cell: 0.00
ΔE_f in meV per atom: -114


Record 9
## Ti4Zn2Cu3 (PBE)

Data for a relaxed structure of Ti4Zn2Cu3.

Cell and atoms, written as CIF:
```
data_Ti4Zn2Cu3
_cell_length_a 8.732
_cell_length_b 4.039
_cell_length_c 8.038
_cell_angle_alpha 90.00
_cell_angle_beta 111.27
_cell_angle_gamma 90.00
_symmetry_space_group_name_H-M 'C 1 2/m 1'
_symmetry_Int_Tables_number 12
loop_
_symmetry_equiv_pos_as_xyz
'x,y,z'
'-x,-y,-z'
'-x,y,-z'
'x,-y,z'
'x+1/2,y+1/2,z'
'-x+1/2,-y+1/2,-z'
'-x+1/2,y+1/2,-z'
'x+1/2,-y+1/2,z'
loop_
_atom_site_label
_atom_site_type_symbol
_atom_site_fract_x
_atom_site_fract_y
_atom_site_fract_z
_atom_site_occupancy
Ti1 Ti 0.023 0.000 0.337 1
Ti2 Ti 0.161 0.500 0.892 1
Zn1 Zn 0.191 0.500 0.245 1
Cu1 Cu 0.000 0.000 0.000 1
Cu2 Cu 0.154 0.500 0.552 1
```

Results
Spin magnetization in Bohr magnetons per cell: 5.05
ΔE_f in meV per atom: -90


Record 10
## Ti3Zn7Cu2 (PBE)

Data for a relaxed structure of Ti3Zn7Cu2.

Cell and atoms, written as CIF:
```
data_Ti3Zn7Cu2
_cell_length_a 5.146
_cell_length_b 2.678
_cell_length_c 13.058
_cell_angle_alpha 90.00
_cell_angle_beta 95.19
_cell_angle_gamma 90.00
_symmetry_space_group_name_H-M 'P 1 2/m 1'
_symmetry_Int_Tables_number 10
loop_
_symmetry_equiv_pos_as_xyz
'x,y,z'
'-x,-y,-z'
'-x,y,-z'
'x,-y,z'
loop_
_atom_site_label
_atom_site_type_symbol
_atom_site_fract_x
_atom_site_fract_y
_atom_site_fract_z
_atom_site_occupancy
Ti1 Ti 0.000 0.000 0.000 1
Ti2 Ti 0.047 0.500 0.659 1
Zn1 Zn 0.231 0.500 0.173 1
Zn2 Zn 0.252 0.000 0.499 1
Zn3 Zn 0.282 0.000 0.831 1
Zn4 Zn 0.500 0.500 0.000 1
Cu1 Cu 0.456 0.000 0.328 1
```

Results
Spin magnetization in Bohr magnetons per cell: 0.00
ΔE_f in meV per atom: -40